# 1
Density functional theory data (PBE) for an optimized crystal structure of PrF.

CIF file:
```
data_PrF
_symmetry_space_group_name_H-M 'P 63/m m c'
_symmetry_Int_Tables_number 194
_symmetry_space_group_name_Hall '-P 6c 2c'
_cell_length_a 3.9307
_cell_length_b 3.9307
_cell_length_c 5.5960
_cell_angle_alpha 90.00
_cell_angle_beta 90.00
_cell_angle_gamma 120.00
loop_
_atom_site_label
_atom_site_type_symbol
_atom_site_fract_x
_atom_site_fract_y
_atom_site_fract_z
_atom_site_occupancy
Pr1 Pr 0.3333 0.6667 0.2500 1
F1 F 0.0000 0.0000 0.0000 1
```

Output
Energy above the most stable polymorph in this dataset (eV/f.u.): 0.00

# 2
Density functional theory data (PBE) for an optimized crystal structure of SmBr.

CIF file:
```
data_SmBr
_symmetry_space_group_name_H-M 'F m -3 m'
_symmetry_Int_Tables_number 225
_symmetry_space_group_name_Hall '-F 4 2 3'
_cell_length_a 5.957
_cell_length_b 5.957
_cell_length_c 5.957
_cell_angle_alpha 90.00
_cell_angle_beta 90.00
_cell_angle_gamma 90.00
loop_
_atom_site_label
_atom_site_type_symbol
_atom_site_fract_x
_atom_site_fract_y
_atom_site_fract_z
_atom_site_occupancy
Sm1 Sm 0.000 0.000 0.000 1
Br1 Br 0.000 0.000 0.500 1
```

Output
Electronic total energy (eV per atom): -4.064

# 3
Density functional theory data (PBE) for an optimized crystal structure of BeCoBAu.

CIF file:
```
data_BeCoBAu
_symmetry_space_group_name_H-M 'F -4 3 m'
_symmetry_Int_Tables_number 216
_symmetry_space_group_name_Hall 'F -4 2 3'
_cell_length_a 5.483
_cell_length_b 5.483
_cell_length_c 5.483
_cell_angle_alpha 90.00
_cell_angle_beta 90.00
_cell_angle_gamma 90.00
loop_
_atom_site_label
_atom_site_type_symbol
_atom_site_fract_x
_atom_site_fract_y
_atom_site_fract_z
_atom_site_occupancy
Be1 Be 0.000 0.000 0.000 1
Co1 Co 0.250 0.250 0.750 1
B1 B 0.000 0.000 0.500 1
Au1 Au 0.250 0.250 0.250 1
```

Output
Energy above the most stable polymorph in this dataset (eV/f.u.): 0.00